This record from Alexandria via LeMat-Bulk describes a relaxed structure of Pr3Nd6Tm2In. The functional is PBE-GGA.

a = 6.310 Å, b = 6.310 Å, c = 11.871 Å
α = 95.19°, β = 95.19°, γ = 120.29°
Positions (direct):
Nd 0.247 0.247 0.757
Nd 0.922 0.596 0.760
Nd 0.753 0.753 0.243
Nd 0.596 0.922 0.760
Nd 0.078 0.404 0.240
Nd 0.404 0.078 0.240
Pr 0.830 0.170 0.500
Pr 0.500 0.500 0.500
Pr 0.170 0.830 0.500
Tm 0.334 0.666 0.000
Tm 0.666 0.334 0.000
In 0.000 0.000 0.000

Space group: C2/m
V (Å³/atom): 33.448
Crystal system: monoclinic
Calculated formation energy (meV/atom): -25
Total energy (eV per formula unit): -54.9
Total magnetic moment (Bohr magnetons per cell): 0.000


This record from Alexandria via LeMat-Bulk describes a relaxed structure of NaCaTl2Br6. The functional is PBE-GGA.

a = 7.677 Å, b = 7.678 Å, c = 8.283 Å
α = 62.39°, β = 62.40°, γ = 59.98°
Positions (direct):
Br 0.600 0.213 0.266
Br 0.920 0.600 0.266
Br 0.213 0.920 0.267
Br 0.091 0.473 0.753
Br 0.683 0.091 0.753
Br 0.473 0.683 0.753
Na 0.316 0.316 0.052
Tl 0.512 0.512 0.464
Tl 0.027 0.027 0.920
Ca 0.826 0.826 0.522

ΔE_f (raw) (eV per atom): -1.23
Space group: R3
V (Å³/atom): 35.710
Crystal system: trigonal
Total energy (eV per formula unit): -30.4
Total magnetic moment (Bohr magnetons per cell): 0.001


This record from Alexandria via LeMat-Bulk describes a relaxed structure of HgIO2F. The functional is PBE-GGA.

a = 4.375 Å, b = 4.375 Å, c = 4.387 Å
α = 90.00°, β = 90.00°, γ = 90.00°
Positions (direct):
Hg 0.000 0.000 0.000
F 0.000 0.000 0.500
O 0.000 0.500 0.000
O 0.500 0.000 0.000
I 0.500 0.500 0.500

ΔE_f (raw) (eV per atom): 0.25
Space group: P4/mmm
V (Å³/atom): 16.796
Crystal system: tetragonal
Total energy (eV per formula unit): -12.4
Total magnetic moment (Bohr magnetons per cell): 0.117


This record from Alexandria via LeMat-Bulk describes a relaxed structure of NaCaGa2Ir. The functional is PBE-GGA.

a = 4.886 Å, b = 4.886 Å, c = 5.430 Å
α = 90.00°, β = 90.00°, γ = 90.00°
Positions (direct):
Ca 0.000 0.000 0.500
Na 0.500 0.500 0.500
Ga 0.000 0.500 0.000
Ga 0.500 0.000 0.000
Ir 0.000 0.000 0.000

Space group: P4/mmm
V (Å³/atom): 25.929
Crystal system: tetragonal
Calculated formation energy (meV/atom): -283
Total energy (eV per formula unit): -19.6
Total magnetic moment (Bohr magnetons per cell): 0.000


This record from Alexandria via LeMat-Bulk describes a relaxed structure of Zr2Ru2Pb. The functional is PBE-GGA.

a = 7.230 Å, b = 7.230 Å, c = 7.230 Å
α = 147.41°, β = 147.41°, γ = 46.76°
Positions (direct):
Zr 0.376 0.376 0.000
Zr 0.624 0.624 0.000
Ru 0.250 0.750 0.500
Ru 0.750 0.250 0.500
Pb 0.000 0.000 0.000

Space group: I4/mmm
V (Å³/atom): 21.856
Crystal system: tetragonal
Calculated formation energy (meV/atom): 78
Total energy (eV per formula unit): -39.0
Total magnetic moment (Bohr magnetons per cell): 0.000


This record from Alexandria via LeMat-Bulk describes a relaxed structure of Ba3Cl. The functional is PBE-GGA.

a = 4.098 Å, b = 4.098 Å, c = 11.561 Å
α = 90.00°, β = 90.00°, γ = 90.00°
Positions (direct):
Ba 0.000 0.000 0.557
Ba 0.000 0.000 0.943
Ba 0.500 0.500 0.250
Cl 0.500 0.500 0.750

ΔE_f (raw) (eV per atom): -0.72
Space group: P4/mmm
V (Å³/atom): 48.533
Crystal system: tetragonal
Total energy (eV per formula unit): -10.5
Distance to the lowest polymorph of the same formula (meV/atom): 129
Total magnetic moment (Bohr magnetons per cell): 0.000


This record from Alexandria via LeMat-Bulk describes a relaxed structure of BaAcEuCd. The functional is PBE-GGA.

a = 6.093 Å, b = 6.093 Å, c = 6.093 Å
α = 60.00°, β = 60.00°, γ = 60.00°
Last column: magnetic moment on the atom in μB.
Positions (direct):
Eu 0.250 0.250 0.250  6.96
Ac 0.500 0.500 0.500  0.07
Cd 0.750 0.750 0.750  -0.01
Ba 0.000 0.000 0.000  0.04

Space group: F-43m
V (Å³/atom): 39.994
Crystal system: cubic
Calculated formation energy (meV/atom): -2
Total energy (eV per formula unit): -17.2
Total magnetic moment (Bohr magnetons per cell): 7.540


This record from Alexandria via LeMat-Bulk describes a relaxed structure of SnRu3S. The functional is PBE-GGA.

a = 4.941 Å, b = 4.941 Å, c = 4.941 Å
α = 90.00°, β = 90.00°, γ = 90.00°
Last column: magnetic moment on the atom in μB.
Positions (direct):
Ru 0.000 0.500 0.000  1.90
Ru 0.500 0.000 0.000  1.76
Ru 0.000 0.000 0.500  1.82
S 0.500 0.500 0.500  0.21
Sn 0.000 0.000 0.000  -0.11

ΔE_f (raw) (eV per atom): 2.04
Space group: Pm-3m
V (Å³/atom): 24.125
Crystal system: cubic
Total energy (eV per formula unit): -25.8
Distance to the lowest polymorph of the same formula (meV/atom): 1679
Total magnetic moment (Bohr magnetons per cell): 6.000


Q: What is the total magnetic moment in the seventh record?
A: 7.540 Bohr magnetons per cell